# MgH3Ir

An optimized crystal structure of MgH3Ir (PBE-GGA, Alexandria).

```
data_MgH3Ir
_symmetry_space_group_name_H-M 'P 1 21/c 1'
_symmetry_Int_Tables_number 14
_cell_length_a 5.371
_cell_length_b 5.143
_cell_length_c 8.464
_cell_angle_alpha 90.00
_cell_angle_beta 125.86
_cell_angle_gamma 90.00
loop_
_symmetry_equiv_pos_as_xyz
'x,y,z'
'-x,-y,-z'
'-x,y+1/2,-z+1/2'
'x,-y+1/2,z+1/2'
loop_
_atom_site_label
_atom_site_fract_x
_atom_site_fract_y
_atom_site_fract_z
Mg1 0.226 0.237 0.085
H1 0.148 0.561 0.337
H2 0.259 0.689 0.662
H3 0.455 0.188 0.435
Ir1 0.212 0.590 0.828
```

E_tot = -4.22 eV per atom
spin magnetization = 0.000 μB per formula unit